Entry from Alexandria via LeMat-Bulk: LiTbZrGa after structural relaxation (GGA-PBE).

abc: 4.913 4.913 4.913
angles: 60.00 60.00 60.00
Atoms (fractional coordinates):
Li (0.750, 0.750, 0.750)
Tb (0.000, 0.000, 0.000)
Ga (0.250, 0.250, 0.250)
Zr (0.500, 0.500, 0.500)

Results
- Size of the total moment: 0.00 Bohr magnetons per cell
- Formation enthalpy at 0 K: -0.88 eV per formula unit
- Space-group type: No. 216

---

Entry from Alexandria via LeMat-Bulk: Li2Ga8Tc after structural relaxation (GGA-PBE).

abc: 4.034 5.583 9.874
angles: 116.60 101.79 90.00
Atoms (fractional coordinates):
Tc (0.500, 0.000, 0.000)
Ga (0.628, 0.445, 0.256)
Ga (0.794, 0.687, 0.588)
Ga (0.380, 0.080, 0.759)
Li (0.794, 0.190, 0.588)
Ga (0.006, 0.283, 0.012)
Li (0.206, 0.810, 0.412)
Ga (0.206, 0.313, 0.412)
Ga (0.994, 0.717, 0.988)
Ga (0.372, 0.555, 0.744)
Ga (0.620, 0.920, 0.241)

Results
- Size of the total moment: 0.00 Bohr magnetons per cell
- Formation enthalpy at 0 K: -1.28 eV per formula unit
- Space-group type: No. 12

---

Entry from Alexandria via LeMat-Bulk: LiGa3Tc after structural relaxation (GGA-PBE).

abc: 6.715 6.972 9.590
angles: 90.00 90.00 90.00
Atoms (fractional coordinates):
Ga (0.757, 0.244, 0.469)
Li (0.786, 0.780, 0.750)
Ga (0.743, 0.744, 0.469)
Li (0.214, 0.220, 0.250)
Ga (0.065, 0.489, 0.750)
Ga (0.435, 0.989, 0.750)
Ga (0.565, 0.011, 0.250)
Ga (0.935, 0.511, 0.250)
Ga (0.757, 0.244, 0.031)
Li (0.714, 0.280, 0.750)
Ga (0.257, 0.256, 0.531)
Tc (0.000, 0.500, 0.000)
Ga (0.257, 0.256, 0.969)
Ga (0.743, 0.744, 0.031)
Tc (0.000, 0.500, 0.500)
Tc (0.500, 0.000, 0.500)
Tc (0.500, 0.000, 0.000)
Li (0.286, 0.720, 0.250)
Ga (0.243, 0.756, 0.969)
Ga (0.243, 0.756, 0.531)

Results
- Size of the total moment: 0.00 Bohr magnetons per cell
- ΔE to the lowest computed polymorph: 0.105 eV/atom
- Formation enthalpy at 0 K: -0.50 eV per formula unit
- Space-group type: No. 62